1.
Here is a relaxed structure of Al3AsOs from the Alexandria database. Energies are from PBE.

Cell and atoms, written as POSCAR:
```
Al3AsOs
1.0
-1.303 4.452 0.016
-4.312 -1.258 -1.157
-1.105 -0.340 4.492
Al Os As
3 1 1
Cartesian
-2.156 -0.629 -0.578
-0.651 2.226 0.008
-0.553 -0.170 2.246
-3.360 1.427 1.676
0.000 0.000 0.000
```

As for the density of states at the Fermi level: 0.840 states/eV per atom. The energy above the most stable polymorph in this dataset is 931.9 meV per atom. The crystal system is cubic.

2.
Here is a relaxed structure of Al2AsOs from the Alexandria database. Energies are from PBE.

Cell and atoms, written as POSCAR:
```
Al2AsOs
1.0
3.123 0.000 0.000
0.000 3.717 0.000
0.000 0.000 5.417
Al As Os
2 1 1
Cartesian
0.000 0.000 5.238
1.561 1.858 1.390
0.000 0.000 2.609
1.561 1.858 4.305
```

As for the density of states at the Fermi level: 0.567 states/eV per atom. The crystal system is orthorhombic.

Quick rundown of E_form, same order as above: 1.2592, 0.0653 eV/atom
Quick rundown of calculated total energy, same order as above: -4.16, -5.78 eV/atom
Quick rundown of calculated volume, same order as above: 20.0, 15.7 Å³/atom